Hf8ReN2 | PBE | optimized geometry

a = 5.732 Å, b = 6.981 Å, c = 6.981 Å
α = 53.27°, β = 79.17°, γ = 79.17°
Sites, in units of the cell vectors:
Hf 0.278 0.348 0.849
Hf 0.722 0.151 0.652
Hf 0.281 0.811 0.811
Hf 0.719 0.189 0.189
Hf 0.278 0.849 0.348
Hf 0.722 0.652 0.151
Hf 0.798 0.634 0.634
Hf 0.202 0.366 0.366
Re 0.000 0.000 0.000
N 0.650 0.800 0.800
N 0.350 0.200 0.200

E_form (uncorrected), eV/atom: -0.360
Symmetry: C2/m (12)


Hf3ReN | PBE | optimized geometry

a = 4.381 Å, b = 4.381 Å, c = 4.381 Å
α = 90.00°, β = 90.00°, γ = 90.00°
Sites, in units of the cell vectors:
Re 0.500 0.500 0.500
Hf 0.000 0.500 0.000
Hf 0.000 0.000 0.500
Hf 0.500 0.000 0.000
N 0.000 0.000 0.000

E_form (uncorrected), eV/atom: -0.701
Symmetry: Pm-3m (221)


Hf6Re2N | PBE | optimized geometry

a = 6.001 Å, b = 6.001 Å, c = 9.202 Å
α = 90.00°, β = 90.00°, γ = 90.00°
Sites, in units of the cell vectors:
Hf 0.000 0.000 0.259
Hf 0.812 0.682 0.500
Hf 0.818 0.688 0.000
Hf 0.682 0.188 0.500
Hf 0.688 0.182 0.000
Hf 0.500 0.500 0.241
Hf 0.000 0.000 0.741
Hf 0.188 0.318 0.500
Hf 0.182 0.312 0.000
Hf 0.318 0.812 0.500
Hf 0.312 0.818 0.000
Hf 0.500 0.500 0.759
Re 0.000 0.500 0.750
Re 0.500 0.000 0.750
Re 0.500 0.000 0.250
Re 0.000 0.500 0.250
N 0.500 0.500 0.000
N 0.000 0.000 0.500

E_form (uncorrected), eV/atom: -0.474
Symmetry: P4/mnc (128)


HfRe3N | PBE | optimized geometry

a = 4.772 Å, b = 4.772 Å, c = 4.772 Å
α = 90.00°, β = 90.00°, γ = 90.00°
Sites, in units of the cell vectors:
Re 0.000 0.500 0.000
Re 0.000 0.000 0.500
Re 0.500 0.000 0.000
Hf 0.000 0.000 0.000
N 0.500 0.500 0.500

E_form (uncorrected), eV/atom: 3.860
Symmetry: Pm-3m (221)


HfReSe2N | PBE | optimized geometry

a = 5.073 Å, b = 5.073 Å, c = 3.700 Å
α = 90.00°, β = 90.00°, γ = 90.00°
Sites, in units of the cell vectors:
Re 0.000 0.000 0.000
Hf 0.500 0.500 0.500
Se 0.000 0.500 0.000
Se 0.500 0.000 0.000
N 0.000 0.000 0.500

E_form (uncorrected), eV/atom: 0.220
Symmetry: P4/mmm (123)


HfReSe2N | PBE | optimized geometry

a = 5.256 Å, b = 5.256 Å, c = 3.950 Å
α = 90.00°, β = 90.00°, γ = 90.00°
Sites, in units of the cell vectors:
Re 0.500 0.500 0.500
Hf 0.000 0.000 0.000
Se 0.000 0.500 0.000
Se 0.500 0.000 0.000
N 0.000 0.000 0.500

E_form (uncorrected), eV/atom: 0.790
Symmetry: P4/mmm (123)


HfRe2TcN | PBE | optimized geometry

a = 4.783 Å, b = 4.747 Å, c = 4.783 Å
α = 90.00°, β = 90.00°, γ = 90.00°
Sites, in units of the cell vectors:
Re 0.000 0.000 0.500
Re 0.500 0.000 0.000
Hf 0.000 0.000 0.000
Tc 0.000 0.500 0.000
N 0.500 0.500 0.500

E_form (uncorrected), eV/atom: 3.608
Symmetry: P4/mmm (123)


HfReTe2N | PBE | optimized geometry

a = 5.639 Å, b = 5.639 Å, c = 3.909 Å
α = 90.00°, β = 90.00°, γ = 90.00°
Sites, in units of the cell vectors:
Re 0.500 0.500 0.500
Te 0.000 0.500 0.000
Te 0.500 0.000 0.000
Hf 0.000 0.000 0.000
N 0.000 0.000 0.500

E_form (uncorrected), eV/atom: 0.936
Symmetry: P4/mmm (123)